1.
VASP calculation (PBE) on a geometry-optimized V2Ge2Pd structure.

abc: 6.527 6.527 3.453
angles: 90.00 90.00 90.00
Element x y z (fractional)
Ge: 0.364 0.864 0.000
Ge: 0.864 0.636 0.000
Ge: 0.636 0.136 0.000
Ge: 0.136 0.364 0.000
Pd: 0.000 0.000 0.000
Pd: 0.500 0.500 0.000
V: 0.166 0.666 0.500
V: 0.666 0.834 0.500
V: 0.834 0.334 0.500
V: 0.334 0.166 0.500

Calculated values
size of the total moment: 0.00 Bohr magnetons per cell
DOS(E_F): 0.812 states/eV/atom
E_form: -195.9 meV per atom

=====

2.
VASP calculation (PBE) on a geometry-optimized VGePd3 structure.

abc: 4.627 4.627 4.627
angles: 90.00 90.00 90.00
Element x y z (fractional)
Ge: 0.500 0.500 0.500
Pd: 0.000 0.500 0.000
Pd: 0.000 0.000 0.500
Pd: 0.500 0.000 0.000
V: 0.000 0.000 0.000

Calculated values
size of the total moment: 0.00 Bohr magnetons per cell
DOS(E_F): 0.886 states/eV/atom
E_form: 703.3 meV per atom

=====

3.
VASP calculation (PBE) on a geometry-optimized V2Ge2Pd structure.

abc: 7.414 7.414 2.738
angles: 90.00 90.00 90.00
Element x y z (fractional)
Ge: 0.181 0.681 0.500
Ge: 0.681 0.819 0.500
Ge: 0.819 0.319 0.500
Ge: 0.319 0.181 0.500
Pd: 0.000 0.000 0.000
Pd: 0.500 0.500 0.000
V: 0.384 0.884 0.000
V: 0.884 0.616 0.000
V: 0.616 0.116 0.000
V: 0.116 0.384 0.000

Calculated values
size of the total moment: 0.00 Bohr magnetons per cell
DOS(E_F): 0.708 states/eV/atom
E_form: -101.7 meV per atom

=====

4.
VASP calculation (PBE) on a geometry-optimized VGe2Pd structure.

abc: 3.803 3.803 5.775
angles: 70.78 70.78 60.00
Last column: magnetic moment on the atom in μB.
Element x y z (fractional)
V: 0.674 0.674 0.979  0.77
Ge: 0.081 0.081 0.758  -0.03
Ge: 0.251 0.251 0.247  -0.03
Pd: 0.494 0.494 0.517  0.02

Calculated values
size of the total moment: 0.78 Bohr magnetons per cell
DOS(E_F): 0.616 states/eV/atom
E_form: -95.6 meV per atom

=====

5.
VASP calculation (PBE) on a geometry-optimized VGePd6 structure.

abc: 4.751 4.751 6.248
angles: 105.18 105.18 108.15
Last column: magnetic moment on the atom in μB.
Element x y z (fractional)
V: 0.500 0.500 0.000  1.25
Ge: 0.000 0.000 0.000  -0.01
Pd: 0.621 0.121 0.241  0.01
Pd: 0.879 0.379 0.759  0.01
Pd: 0.254 0.254 0.509  -0.03
Pd: 0.121 0.621 0.241  0.01
Pd: 0.379 0.879 0.759  0.01
Pd: 0.746 0.746 0.491  -0.03

Calculated values
size of the total moment: 1.36 Bohr magnetons per cell
DOS(E_F): 0.665 states/eV/atom
E_form: -258.1 meV per atom

=====

6.
VASP calculation (PBE) on a geometry-optimized VGePd6 structure.

abc: 6.815 7.319 5.015
angles: 43.08 46.93 57.43
Last column: magnetic moment on the atom in μB.
Element x y z (fractional)
V: 0.500 0.500 0.500  0.63
Ge: 0.000 0.000 0.000  0.00
Pd: 0.962 0.566 0.717  -0.01
Pd: 0.755 0.959 0.853  -0.01
Pd: 0.565 0.246 0.231  -0.01
Pd: 0.245 0.041 0.147  -0.01
Pd: 0.038 0.434 0.283  -0.01
Pd: 0.435 0.754 0.769  -0.01

Calculated values
size of the total moment: 0.62 Bohr magnetons per cell
DOS(E_F): 0.645 states/eV/atom
E_form: -187.0 meV per atom

=====

7.
VASP calculation (PBE) on a geometry-optimized ZrVGePd2 structure.

abc: 4.822 5.076 4.822
angles: 90.00 90.00 90.00
Last column: magnetic moment on the atom in μB.
Element x y z (fractional)
Ge: 0.000 0.500 0.000  0.01
Zr: 0.000 0.000 0.000  0.03
Pd: 0.000 0.000 0.500  0.00
Pd: 0.500 0.000 0.000  0.01
V: 0.500 0.500 0.500  -0.07

Calculated values
size of the total moment: 0.06 Bohr magnetons per cell
DOS(E_F): 1.204 states/eV/atom
E_form: 1107.0 meV per atom

=====

8.
VASP calculation (PBE) on a geometry-optimized Ge3PdW structure.

abc: 4.863 4.863 4.863
angles: 90.00 90.00 90.00
Element x y z (fractional)
Ge: 0.000 0.500 0.000
Ge: 0.000 0.000 0.500
Ge: 0.500 0.000 0.000
Pd: 0.500 0.500 0.500
W: 0.000 0.000 0.000

Calculated values
size of the total moment: 0.00 Bohr magnetons per cell
DOS(E_F): 0.416 states/eV/atom
E_form: 627.5 meV per atom